Al2PdWF | meta-GGA SCAN | single point on PBEsol structure

The structure in POSCAR format:
```
Al2PdWF
1.0
4.6259 0.0000 0.0000
0.0000 4.9584 0.0000
0.0000 0.0000 4.9584
Pd Al W F
1 2 1 1
Direct
0.5000 0.0000 0.0000 Pd
0.0000 0.5000 0.0000 Al
0.0000 0.0000 0.5000 Al
0.0000 0.0000 0.0000 W
0.5000 0.5000 0.5000 F
```

Output
DFT total energy in eV/atom: -23.44
Formation energy without anion corrections in eV/atom: 0.8656
Space-group type: P4/mmm
Spin magnetization in μB/f.u.: 0.0
V in Å³ per cell: 114